Entry 1:
Material: LuPuCdTc
Method: DFT, PBE-GGA
State: relaxed

The structure in extended XYZ format:
```
4
Lattice="4.992 0.000 0.000 2.496 4.323 0.000 2.496 1.441 4.076" Properties=species:S:1:pos:R:3 pbc="T T T"
Pu 0.000 0.000 0.000
Lu 4.992 2.882 2.038
Cd 7.488 4.323 3.057
Tc 2.496 1.441 1.019
```

ΔH_f (0 K) (eV per formula unit): 0.3



Entry 2:
Material: LuPuZnCd
Method: DFT, PBE-GGA
State: relaxed

The structure in extended XYZ format:
```
4
Lattice="5.147 0.000 0.000 2.573 4.457 0.000 2.573 1.486 4.202" Properties=species:S:1:pos:R:3 pbc="T T T"
Cd 7.720 4.457 3.152
Lu 0.000 0.000 0.000
Pu 5.147 2.972 2.101
Zn 2.573 1.486 1.051
```

ΔH_f (0 K) (eV per formula unit): -0.4



Entry 3:
Material: LuZrCdRe
Method: DFT, PBE-GGA
State: relaxed

The structure in extended XYZ format:
```
4
Lattice="-2.011 -4.422 0.371 -0.267 -2.891 -3.913 2.797 -3.979 -0.285" Properties=species:S:1:pos:R:3 pbc="T T T"
Lu 0.000 0.000 0.000
Cd 0.130 -2.823 -0.957
Zr 0.259 -5.646 -1.913
Re 0.389 -8.469 -2.870
```

ΔH_f (0 K) (eV per formula unit): -0.3



Entry 4:
Material: SmLuCdRh
Method: DFT, PBE-GGA
State: relaxed

The structure in extended XYZ format:
```
4
Lattice="-0.245 0.518 5.025 -4.120 -1.532 2.502 0.222 -4.083 2.977" Properties=species:S:1:pos:R:3 pbc="T T T"
Rh -1.036 -1.274 2.626
Lu -2.071 -2.548 5.252
Sm 0.000 0.000 0.000
Cd -3.107 -3.822 7.879
```

ΔH_f (0 K) (eV per formula unit): -2.0



Please write out number 1 again, unchanged.
Material: LuPuCdTc
Method: DFT, PBE-GGA
State: relaxed

The structure in extended XYZ format:
```
4
Lattice="4.992 0.000 0.000 2.496 4.323 0.000 2.496 1.441 4.076" Properties=species:S:1:pos:R:3 pbc="T T T"
Pu 0.000 0.000 0.000
Lu 4.992 2.882 2.038
Cd 7.488 4.323 3.057
Tc 2.496 1.441 1.019
```

ΔH_f (0 K) (eV per formula unit): 0.3